# 1
# Dy2MgSi2Rh5 GGA-PBE relaxed
# ΔE_f (raw) in eV per formula unit: -9.46
data_Dy2MgSi2Rh5
_space_group_name_H-M_alt 'P 4/m b m'
_space_group_IT_number 127
_space_group_name_Hall '-P 4 2ab'
_cell_length_a 9.885
_cell_length_b 9.885
_cell_length_c 3.422
_cell_angle_alpha 90.00
_cell_angle_beta 90.00
_cell_angle_gamma 90.00
loop_
_atom_site_label
_atom_site_type_symbol
_atom_site_fract_x
_atom_site_fract_y
_atom_site_fract_z
Dy1 Dy 0.174 0.326 0.000
Mg1 Mg 0.000 0.000 0.000
Si1 Si 0.125 0.625 0.000
Rh1 Rh 0.000 0.500 0.500
Rh2 Rh 0.069 0.784 0.500



# 2
# TiZn3In GGA-PBE relaxed
# Energy of formation in meV/atom: 724
# Distance to the lowest polymorph of the same formula in meV per atom: 0.0
data_TiZn3In
_space_group_name_H-M_alt 'P m -3 m'
_space_group_IT_number 221
_space_group_name_Hall '-P 4 2 3'
_cell_length_a 5.085
_cell_length_b 5.085
_cell_length_c 5.085
_cell_angle_alpha 90.00
_cell_angle_beta 90.00
_cell_angle_gamma 90.00
loop_
_atom_site_label
_atom_site_type_symbol
_atom_site_fract_x
_atom_site_fract_y
_atom_site_fract_z
Ti1 Ti 0.000 0.000 0.000
Zn1 Zn 0.000 0.000 0.500
In1 In 0.500 0.500 0.500



# 3
# La3Pr7Dy2 GGA-PBE relaxed
# Energy of formation in meV/atom: 81
# Distance to the lowest polymorph of the same formula in meV per atom: 8.4
data_La3Pr7Dy2
_space_group_name_H-M_alt 'P 1 2/m 1'
_space_group_IT_number 10
_cell_length_a 6.044
_cell_length_b 3.669
_cell_length_c 19.563
_cell_angle_alpha 90.00
_cell_angle_beta 93.03
_cell_angle_gamma 90.00
loop_
_space_group_symop_operation_xyz
'x,y,z'
'-x,-y,-z'
'-x,y,-z'
'x,-y,z'
loop_
_atom_site_label
_atom_site_type_symbol
_atom_site_fract_x
_atom_site_fract_y
_atom_site_fract_z
La1 La 0.000 0.000 0.000
La2 La 0.278 0.500 0.634
Pr1 Pr 0.187 0.500 0.146
Pr2 Pr 0.244 0.000 0.464
Pr3 Pr 0.310 0.000 0.819
Pr4 Pr 0.500 0.500 0.000
Dy1 Dy 0.213 0.000 0.295



# 4
# Ba3CdBr GGA-PBE relaxed
# ΔE_f (raw) in eV per formula unit: -2.43
# Distance to the lowest polymorph of the same formula in meV per atom: 0.0
data_Ba3CdBr
_space_group_name_H-M_alt 'P m -3 m'
_space_group_IT_number 221
_space_group_name_Hall '-P 4 2 3'
_cell_length_a 6.275
_cell_length_b 6.275
_cell_length_c 6.275
_cell_angle_alpha 90.00
_cell_angle_beta 90.00
_cell_angle_gamma 90.00
loop_
_atom_site_label
_atom_site_type_symbol
_atom_site_fract_x
_atom_site_fract_y
_atom_site_fract_z
Ba1 Ba 0.000 0.000 0.500
Cd1 Cd 0.500 0.500 0.500
Br1 Br 0.000 0.000 0.000



# 5
# CoTe2H GGA-PBE relaxed
# Distance to the lowest polymorph of the same formula in meV per atom: 423.2
data_CoTe2H
_space_group_name_H-M_alt 'F m -3 m'
_space_group_IT_number 225
_space_group_name_Hall '-F 4 2 3'
_cell_length_a 6.362
_cell_length_b 6.362
_cell_length_c 6.362
_cell_angle_alpha 90.00
_cell_angle_beta 90.00
_cell_angle_gamma 90.00
loop_
_atom_site_label
_atom_site_type_symbol
_atom_site_fract_x
_atom_site_fract_y
_atom_site_fract_z
Co1 Co 0.000 0.000 0.000
Te1 Te 0.250 0.250 0.250
H1 H 0.000 0.000 0.500



# 6
# Ac2UCdSe6 GGA-PBE relaxed
# ΔE_f (raw) in eV per formula unit: -13.95
data_Ac2UCdSe6
_space_group_name_H-M_alt 'R 3'
_space_group_IT_number 146
_space_group_name_Hall 'R 3'
_cell_length_a 7.5650
_cell_length_b 7.5650
_cell_length_c 19.3497
_cell_angle_alpha 90.00
_cell_angle_beta 90.00
_cell_angle_gamma 120.00
loop_
_atom_site_label
_atom_site_type_symbol
_atom_site_fract_x
_atom_site_fract_y
_atom_site_fract_z
Ac1 Ac 0.0000 0.0000 0.0000
Ac2 Ac 0.0000 0.0000 0.4925
U1 U 0.0000 0.0000 0.7902
Cd1 Cd 0.0000 0.0000 0.2829
Se1 Se 0.0086 0.6126 0.0468
Se2 Se 0.0215 0.3951 0.5479



# 7
# NdDy2Ho GGA-PBE relaxed
# Energy of formation in meV/atom: 16
# Distance to the lowest polymorph of the same formula in meV per atom: 8.8
data_NdDy2Ho
_space_group_name_H-M_alt 'P m m n'
_space_group_IT_number 59
_cell_length_a 5.693
_cell_length_b 7.291
_cell_length_c 6.297
_cell_angle_alpha 90.00
_cell_angle_beta 90.00
_cell_angle_gamma 90.00
loop_
_space_group_symop_operation_xyz
'x,y,z'
'-x,-y,-z'
'-x+1/2,-y+1/2,z'
'x+1/2,y+1/2,-z'
'x+1/2,-y,-z'
'-x+1/2,y,z'
'-x,y+1/2,-z'
'x,-y+1/2,z'
loop_
_atom_site_label
_atom_site_type_symbol
_atom_site_fract_x
_atom_site_fract_y
_atom_site_fract_z
Nd1 Nd 0.250 0.250 0.167
Dy1 Dy 0.250 0.001 0.665
Ho1 Ho 0.250 0.750 0.168



# 8
# Rb2ThMnS4 GGA-PBE relaxed
# ΔE_f (raw) in eV per formula unit: -10.14
data_Rb2ThMnS4
_space_group_name_H-M_alt 'I m m a'
_space_group_IT_number 74
_space_group_name_Hall '-I 2b 2'
_cell_length_a 8.423
_cell_length_b 8.573
_cell_length_c 12.132
_cell_angle_alpha 90.00
_cell_angle_beta 90.00
_cell_angle_gamma 90.00
loop_
_atom_site_label
_atom_site_type_symbol
_atom_site_fract_x
_atom_site_fract_y
_atom_site_fract_z
Rb1 Rb 0.000 0.000 0.000
Rb2 Rb 0.250 0.250 0.250
Th1 Th 0.000 0.000 0.500
Mn1 Mn 0.250 0.250 0.750
S1 S 0.000 0.050 0.730
S2 S 0.215 0.250 0.513



# 9
# KZrSe GGA-PBE relaxed
# ΔE_f (raw) in eV per formula unit: 2.59
# Distance to the lowest polymorph of the same formula in meV per atom: 1360.8
data_KZrSe
_space_group_name_H-M_alt 'F -4 3 m'
_space_group_IT_number 216
_space_group_name_Hall 'F -4 2 3'
_cell_length_a 7.234
_cell_length_b 7.234
_cell_length_c 7.234
_cell_angle_alpha 90.00
_cell_angle_beta 90.00
_cell_angle_gamma 90.00
loop_
_atom_site_label
_atom_site_type_symbol
_atom_site_fract_x
_atom_site_fract_y
_atom_site_fract_z
K1 K 0.000 0.000 0.000
Zr1 Zr 0.250 0.250 0.750
Se1 Se 0.250 0.250 0.250



# 10
# HoPuTi GGA-PBE relaxed
# Energy of formation in meV/atom: 206
# Distance to the lowest polymorph of the same formula in meV per atom: 0.0
data_HoPuTi
_space_group_name_H-M_alt 'I 4 m m'
_space_group_IT_number 107
_space_group_name_Hall 'I 4 -2'
_cell_length_a 3.299
_cell_length_b 3.299
_cell_length_c 13.315
_cell_angle_alpha 90.00
_cell_angle_beta 90.00
_cell_angle_gamma 90.00
loop_
_atom_site_label
_atom_site_type_symbol
_atom_site_fract_x
_atom_site_fract_y
_atom_site_fract_z
Ho1 Ho 0.000 0.000 0.000
Pu1 Pu 0.000 0.000 0.693
Ti1 Ti 0.000 0.000 0.335



# 11
# NdErCu2Ge2 GGA-PBE relaxed
# Energy of formation in meV/atom: -677
data_NdErCu2Ge2
_space_group_name_H-M_alt 'P -3 m 1'
_space_group_IT_number 164
_space_group_name_Hall '-P 3 2"'
_cell_length_a 4.2677
_cell_length_b 4.2677
_cell_length_c 7.5358
_cell_angle_alpha 90.00
_cell_angle_beta 90.00
_cell_angle_gamma 120.00
loop_
_atom_site_label
_atom_site_type_symbol
_atom_site_fract_x
_atom_site_fract_y
_atom_site_fract_z
Nd1 Nd 0.0000 0.0000 0.0000
Er1 Er 0.0000 0.0000 0.5000
Cu1 Cu 0.3333 0.6667 0.7267
Ge1 Ge 0.3333 0.6667 0.2616



# 12
# TcSn2P GGA-PBE relaxed
# Energy of formation in meV/atom: 680
data_TcSn2P
_space_group_name_H-M_alt 'I -4 2 d'
_space_group_IT_number 122
_space_group_name_Hall 'I -4 2bw'
_cell_length_a 6.264
_cell_length_b 6.264
_cell_length_c 11.240
_cell_angle_alpha 90.00
_cell_angle_beta 90.00
_cell_angle_gamma 90.00
loop_
_atom_site_label
_atom_site_type_symbol
_atom_site_fract_x
_atom_site_fract_y
_atom_site_fract_z
Tc1 Tc 0.000 0.000 0.000
Sn1 Sn 0.247 0.250 0.625
P1 P 0.000 0.000 0.500



# 13
# Dy2LuAu GGA-PBE relaxed
# Energy of formation in meV/atom: -255
# Distance to the lowest polymorph of the same formula in meV per atom: 125.7
data_Dy2LuAu
_space_group_name_H-M_alt 'P 4/m m m'
_space_group_IT_number 123
_space_group_name_Hall '-P 4 2'
_cell_length_a 4.691
_cell_length_b 4.691
_cell_length_c 4.673
_cell_angle_alpha 90.00
_cell_angle_beta 90.00
_cell_angle_gamma 90.00
loop_
_atom_site_label
_atom_site_type_symbol
_atom_site_fract_x
_atom_site_fract_y
_atom_site_fract_z
Dy1 Dy 0.000 0.500 0.000
Lu1 Lu 0.000 0.000 0.500
Au1 Au 0.500 0.500 0.500



# 14
# Cs3NaPa3Te8 GGA-PBE relaxed
# ΔE_f (raw) in eV per formula unit: -14.39
data_Cs3NaPa3Te8
_space_group_name_H-M_alt 'R -3 m'
_space_group_IT_number 166
_space_group_name_Hall '-R 3 2"'
_cell_length_a 9.0736
_cell_length_b 9.0736
_cell_length_c 27.0909
_cell_angle_alpha 90.00
_cell_angle_beta 90.00
_cell_angle_gamma 120.00
loop_
_atom_site_label
_atom_site_type_symbol
_atom_site_fract_x
_atom_site_fract_y
_atom_site_fract_z
Cs1 Cs 0.0000 0.5000 0.0000
Na1 Na 0.0000 0.0000 0.5000
Pa1 Pa 0.0000 0.5000 0.5000
Te1 Te 0.0000 0.0000 0.2309
Te2 Te 0.0210 0.5105 0.7698



# 15
# Ce2Pr4Te3N2 GGA-PBE relaxed
# ΔE_f (raw) in eV per formula unit: -12.86
data_Ce2Pr4Te3N2
_space_group_name_H-M_alt 'I 4/m m m'
_space_group_IT_number 139
_space_group_name_Hall '-I 4 2'
_cell_length_a 4.808
_cell_length_b 4.808
_cell_length_c 26.249
_cell_angle_alpha 90.00
_cell_angle_beta 90.00
_cell_angle_gamma 90.00
loop_
_atom_site_label
_atom_site_type_symbol
_atom_site_fract_x
_atom_site_fract_y
_atom_site_fract_z
Ce1 Ce 0.000 0.000 0.193
Pr1 Pr 0.000 0.500 0.082
Te1 Te 0.000 0.000 0.323
Te2 Te 0.000 0.000 0.500
N1 N 0.000 0.000 0.111



# 16
# TlZnP2O GGA-PBE relaxed
# ΔE_f (raw) in eV per formula unit: 5.28
# Distance to the lowest polymorph of the same formula in meV per atom: 607.8
data_TlZnP2O
_space_group_name_H-M_alt 'P 4/m m m'
_space_group_IT_number 123
_space_group_name_Hall '-P 4 2'
_cell_length_a 5.235
_cell_length_b 5.235
_cell_length_c 4.122
_cell_angle_alpha 90.00
_cell_angle_beta 90.00
_cell_angle_gamma 90.00
loop_
_atom_site_label
_atom_site_type_symbol
_atom_site_fract_x
_atom_site_fract_y
_atom_site_fract_z
Tl1 Tl 0.000 0.000 0.000
Zn1 Zn 0.500 0.500 0.500
P1 P 0.000 0.500 0.000
O1 O 0.000 0.000 0.500



# 17
# Tb2Cd2In GGA-PBE relaxed
# Energy of formation in meV/atom: -324
data_Tb2Cd2In
_space_group_name_H-M_alt 'C 1 2/m 1'
_space_group_IT_number 12
_cell_length_a 11.209
_cell_length_b 4.998
_cell_length_c 9.869
_cell_angle_alpha 90.00
_cell_angle_beta 110.19
_cell_angle_gamma 90.00
loop_
_space_group_symop_operation_xyz
'x,y,z'
'-x,-y,-z'
'-x,y,-z'
'x,-y,z'
'x+1/2,y+1/2,z'
'-x+1/2,-y+1/2,-z'
'-x+1/2,y+1/2,-z'
'x+1/2,-y+1/2,z'
loop_
_atom_site_label
_atom_site_type_symbol
_atom_site_fract_x
_atom_site_fract_y
_atom_site_fract_z
Tb1 Tb 0.049 0.000 0.347
Tb2 Tb 0.169 0.000 0.062
Cd1 Cd 0.026 0.500 0.865
Cd2 Cd 0.133 0.500 0.581
In1 In 0.244 0.500 0.298



# 18
# AgAu2Se GGA-PBE relaxed
# ΔE_f (raw) in eV per formula unit: 0.42
data_AgAu2Se
_space_group_name_H-M_alt 'P 1 2/m 1'
_space_group_IT_number 10
_cell_length_a 2.884
_cell_length_b 4.804
_cell_length_c 5.701
_cell_angle_alpha 90.00
_cell_angle_beta 101.69
_cell_angle_gamma 90.00
loop_
_space_group_symop_operation_xyz
'x,y,z'
'-x,-y,-z'
'-x,y,-z'
'x,-y,z'
loop_
_atom_site_label
_atom_site_type_symbol
_atom_site_fract_x
_atom_site_fract_y
_atom_site_fract_z
Ag1 Ag 0.000 0.000 0.000
Au1 Au 0.433 0.500 0.237
Se1 Se 0.500 0.000 0.500



# 19
# MgSc3Cd12 GGA-PBE relaxed
# Energy of formation in meV/atom: -172
data_MgSc3Cd12
_space_group_name_H-M_alt 'P 4/m m m'
_space_group_IT_number 123
_space_group_name_Hall '-P 4 2'
_cell_length_a 4.493
_cell_length_b 4.493
_cell_length_c 17.337
_cell_angle_alpha 90.00
_cell_angle_beta 90.00
_cell_angle_gamma 90.00
loop_
_atom_site_label
_atom_site_type_symbol
_atom_site_fract_x
_atom_site_fract_y
_atom_site_fract_z
Mg1 Mg 0.000 0.000 0.000
Sc1 Sc 0.000 0.000 0.246
Sc2 Sc 0.000 0.000 0.500
Cd1 Cd 0.000 0.500 0.123
Cd2 Cd 0.000 0.500 0.374
Cd3 Cd 0.500 0.500 0.000
Cd4 Cd 0.500 0.500 0.247
Cd5 Cd 0.500 0.500 0.500



# 20
# Pr12NiPb6 GGA-PBE relaxed
# Energy of formation in meV/atom: -335
data_Pr12NiPb6
_space_group_name_H-M_alt 'R -3'
_space_group_IT_number 148
_space_group_name_Hall '-R 3'
_cell_length_a 12.5612
_cell_length_b 12.5612
_cell_length_c 14.4999
_cell_angle_alpha 90.00
_cell_angle_beta 90.00
_cell_angle_gamma 120.00
loop_
_atom_site_label
_atom_site_type_symbol
_atom_site_fract_x
_atom_site_fract_y
_atom_site_fract_z
Pr1 Pr 0.0326 0.1920 0.3889
Pr2 Pr 0.0349 0.8436 0.8833
Ni1 Ni 0.0000 0.0000 0.0000
Pb1 Pb 0.0038 0.3919 0.2543